Entry 1:
VASP calculation (PBE-GGA) on a relaxed structure of Na8Hg2Sb.

Results
E_form (uncorrected)	-0.21	eV/atom
V	332.9	Å³/cell

```
Na8Hg2Sb
1.0
-2.3490 2.0656 4.1587
-1.7231 -7.0846 2.5460
9.1907 2.2862 0.8160
Na Hg Sb
8 2 1
direct
0.6359 0.2151 0.9095 Na
0.5308 0.7463 0.6972 Na
0.9758 0.0194 0.5888 Na
0.2970 0.3401 0.2302 Na
0.9355 0.4654 0.5051 Na
0.1364 0.5372 0.9086 Na
0.7407 0.9554 0.1184 Na
0.3376 0.8706 0.3132 Na
0.7933 0.6078 0.2251 Hg
0.4809 0.2930 0.5950 Hg
0.1361 0.9497 0.9089 Sb
```

---

Entry 2:
VASP calculation (PBE-GGA) on a relaxed structure of Zr2WSe.

Results
E_form (uncorrected)	0.07	eV/atom
V	79.3	Å³/cell

```
Zr2WSe
1.0
3.1271 0.0078 0.0000
-1.0449 2.9473 0.0000
0.0000 0.0000 8.5981
Zr W Se
2 1 1
direct
0.5000 0.5000 0.2776 Zr
0.0000 0.0000 0.9812 Zr
0.5000 0.5000 0.7332 W
0.0000 0.0000 0.5080 Se
```

---

Entry 3:
VASP calculation (PBE-GGA) on a relaxed structure of Sr5In2Sb6.

Results
E_form (uncorrected)	-0.81	eV/atom
V	906.0	Å³/cell

```
Sr5In2Sb6
1.0
-0.9130 3.8110 -2.6490
-8.7628 -6.6597 -6.5612
-10.5171 4.2472 9.7352
Sb Sr In
12 10 4
direct
0.5000 0.1637 0.3252 Sb
0.0000 0.6532 0.9055 Sb
0.0000 0.0250 0.9051 Sb
0.0000 0.5250 0.5949 Sb
0.5000 0.3363 0.8252 Sb
0.0000 0.9750 0.0949 Sb
0.0000 0.1532 0.5945 Sb
0.0000 0.3468 0.0945 Sb
0.5000 0.8363 0.6748 Sb
0.0000 0.8468 0.4055 Sb
0.0000 0.4750 0.4051 Sb
0.5000 0.6637 0.1748 Sb
0.5000 0.4118 0.2496 Sr
0.5000 0.3267 0.5177 Sr
0.5000 0.9118 0.2504 Sr
0.5000 0.5882 0.7504 Sr
0.5000 0.8267 0.9823 Sr
0.5000 0.0000 0.5000 Sr
0.5000 0.1733 0.0177 Sr
0.5000 0.5000 0.0000 Sr
0.5000 0.6733 0.4823 Sr
0.5000 0.0882 0.7496 Sr
0.0000 0.6695 0.2863 In
0.0000 0.8305 0.7863 In
0.0000 0.3305 0.7137 In
0.0000 0.1695 0.2137 In
```

---

Entry 4:
VASP calculation (PBE-GGA) on a relaxed structure of V2CrHOs.

Results
energy	-8.58	eV/atom
V	55.0	Å³/cell

```
V2CrHOs
1.0
-2.8551 -2.7317 -1.2882
-0.1925 -1.6044 3.8291
-2.3090 2.0608 0.7474
Cr V H Os
1 2 1 1
direct
0.0000 0.0000 0.5000 Cr
0.0000 0.5000 0.0000 V
0.5000 0.0000 0.0000 V
0.0000 0.0000 0.0000 H
0.5000 0.5000 0.5000 Os
```

---

Entry 5:
VASP calculation (PBE-GGA) on a relaxed structure of MgZr2Al2.

Results
ΔH_f (0 K)	-74	meV/atom
V	214.8	Å³/cell

```
MgZr2Al2
1.0
-4.2695 7.1222 0.1698
-6.8845 -4.1756 2.0375
0.6869 0.3399 3.0176
Zr Mg Al
4 2 4
direct
0.3731 0.8731 0.0000 Zr
0.6269 0.1269 0.0000 Zr
0.1269 0.3731 0.0000 Zr
0.8731 0.6269 0.0000 Zr
0.5000 0.5000 0.0000 Mg
0.0000 0.0000 0.0000 Mg
0.3268 0.1732 0.5000 Al
0.8268 0.3268 0.5000 Al
0.1732 0.6732 0.5000 Al
0.6732 0.8268 0.5000 Al
```

---

Entry 6:
VASP calculation (PBE-GGA) on a relaxed structure of Sc3SnN.

Results
E_form (uncorrected)	-1.14	eV/atom
V	181.8	Å³/cell

```
Sc3SnN
1.0
-1.7514 -2.8009 2.8712
0.7020 -5.4255 -4.8644
5.4282 -3.1466 0.2415
N Sc Sn
2 6 2
direct
0.2742 0.8188 0.3569 N
0.2742 0.3074 0.6128 N
0.2742 0.5630 0.2475 Sc
0.7742 0.3053 0.6139 Sc
0.2742 0.0631 0.9849 Sc
0.2742 0.0631 0.4849 Sc
0.7742 0.8209 0.3558 Sc
0.2742 0.5632 0.7222 Sc
0.7742 0.8258 0.8534 Sn
0.7742 0.3004 0.1163 Sn
```

---

Entry 7:
VASP calculation (PBE-GGA) on a relaxed structure of Cs3HoTh2Te6.

Results
E_form (uncorrected)	-1.23	eV/atom
V	484.4	Å³/cell

```
Cs3HoTh2Te6
1.0
7.8517 0.0001 0.0003
-3.9238 6.8009 0.0003
-1.3094 -2.2672 9.0708
Th Cs Te Ho
2 3 6 1
direct
0.6662 0.3338 0.0000 Th
0.3338 0.6662 0.0000 Th
0.8311 0.1689 0.5000 Cs
0.1689 0.8311 0.5000 Cs
0.5000 0.5000 0.5000 Cs
0.3927 0.0651 0.1961 Te
0.9349 0.6073 0.8039 Te
0.2612 0.2612 0.8026 Te
0.0651 0.3927 0.1961 Te
0.6073 0.9349 0.8039 Te
0.7388 0.7388 0.1974 Te
0.0000 0.0000 0.0000 Ho
```

---

Entry 8:
VASP calculation (PBE-GGA) on a relaxed structure of K2CdIn2.

Results
ΔH_f (0 K)	-40	meV/atom
V	346.9	Å³/cell

```
K2CdIn2
1.0
6.7267 0.0000 -0.3878
3.3634 5.2541 -0.1939
2.4237 0.0000 9.6743
K Cd In
4 2 4
direct
0.0203 0.3300 0.3052 K
0.9797 0.6700 0.6948 K
0.6497 0.3300 0.6948 K
0.3503 0.6700 0.3052 K
0.2169 0.5663 0.0000 Cd
0.7831 0.4337 0.0000 Cd
0.3254 0.0000 0.6071 In
0.6779 0.0000 0.0896 In
0.6746 0.0000 0.3929 In
0.3221 0.0000 0.9104 In
```

---

Entry 9:
VASP calculation (PBE-GGA) on a relaxed structure of Lu2NpTl.

Results
ΔH_f (0 K)	112	meV/atom
V	104.7	Å³/cell

```
Lu2NpTl
1.0
3.3785 0.0000 0.0000
0.0000 3.3785 0.0000
0.0000 0.0000 9.1735
Np Lu Tl
1 2 1
direct
0.5000 0.5000 0.0000 Np
0.0000 0.0000 0.2560 Lu
0.0000 0.0000 0.7440 Lu
0.5000 0.5000 0.5000 Tl
```

---

Entry 10:
VASP calculation (PBE-GGA) on a relaxed structure of Si2Tc2H.

Results
energy	-7.19	eV/atom
V	122.2	Å³/cell

```
Si2Tc2H
1.0
5.7319 0.0000 0.0000
0.0000 5.7319 0.0000
0.0000 0.0000 3.7197
Tc Si H
4 4 2
direct
0.1697 0.3303 0.0000 Tc
0.6697 0.1697 0.0000 Tc
0.8303 0.6697 0.0000 Tc
0.3303 0.8303 0.0000 Tc
0.6472 0.8528 0.5000 Si
0.8528 0.3528 0.5000 Si
0.1472 0.6472 0.5000 Si
0.3528 0.1472 0.5000 Si
0.5000 0.5000 0.0000 H
0.0000 0.0000 0.0000 H
```

---

Entry 11:
VASP calculation (PBE-GGA) on a relaxed structure of AgOs2Pt.

Results
ΔH_f (0 K)	498	meV/atom
V	61.0	Å³/cell

```
AgOs2Pt
1.0
2.7355 0.0000 0.0000
0.0000 4.8327 -0.0009
0.0000 3.2178 4.6110
Os Pt Ag
2 1 1
direct
0.0000 0.0000 0.0000 Os
0.5000 0.5000 0.0000 Os
0.5000 0.5000 0.5000 Pt
0.0000 0.0000 0.5000 Ag
```

---

Entry 12:
VASP calculation (PBE-GGA) on a relaxed structure of GeHPd2.

Results
energy	-4.75	eV/atom
V	111.7	Å³/cell

```
GeHPd2
1.0
5.1566 0.0000 0.0000
0.0000 5.1566 0.0000
2.5783 2.5783 4.2026
Ge H Pd
2 2 4
direct
0.7500 0.2500 0.5000 Ge
0.0000 0.0000 0.0000 Ge
0.5000 0.5000 0.0000 H
0.2500 0.7500 0.5000 H
0.3750 0.4830 0.7500 Pd
0.2330 0.6250 0.2500 Pd
0.8750 0.7670 0.7500 Pd
0.5170 0.1250 0.2500 Pd
```

---

Entry 13:
VASP calculation (PBE-GGA) on a relaxed structure of Nd5SbPt2.

Results
E_form (uncorrected)	-0.90	eV/atom
V	452.8	Å³/cell

```
Nd5SbPt2
1.0
7.3380 0.0000 -3.4639
-1.6352 7.1535 -3.4639
-0.2633 -0.3302 8.9467
Nd Sb Pt
10 2 4
direct
0.2970 0.7970 0.2781 Nd
0.5189 0.7030 0.7219 Nd
0.0000 0.0000 0.0000 Nd
0.5000 0.5000 0.0000 Nd
0.9811 0.4811 0.2781 Nd
0.0189 0.5189 0.7219 Nd
0.7030 0.2030 0.7219 Nd
0.7970 0.9811 0.2781 Nd
0.2030 0.0189 0.7219 Nd
0.4811 0.2970 0.2781 Nd
0.7500 0.7500 0.5000 Sb
0.2500 0.2500 0.5000 Sb
0.8640 0.6360 0.0000 Pt
0.1360 0.3640 0.0000 Pt
0.6360 0.1360 0.0000 Pt
0.3640 0.8640 0.0000 Pt
```

---

Entry 14:
VASP calculation (PBE-GGA) on a relaxed structure of TbCeS2O.

Results
E_form (uncorrected)	-2.55	eV/atom
V	210.2	Å³/cell

```
TbCeS2O
1.0
-2.7358 -0.1663 -2.7785
0.3874 -3.8807 -0.1492
-9.7446 -1.3449 9.6752
O Tb S Ce
2 2 4 2
direct
0.0000 0.0000 0.5000 O
0.5000 0.5000 0.5000 O
0.5000 0.0000 0.1172 Tb
0.0000 0.5000 0.8828 Tb
0.0000 0.5000 0.0937 S
0.5000 0.0000 0.9063 S
0.0000 0.5000 0.6935 S
0.5000 0.0000 0.3065 S
0.0000 0.5000 0.4073 Ce
0.5000 0.0000 0.5927 Ce
```

---

Entry 15:
VASP calculation (PBE-GGA) on a relaxed structure of NdY3Th2.

Results
ΔH_f (0 K)	93	meV/atom
V	395.9	Å³/cell

```
NdY3Th2
1.0
3.6372 0.0000 0.0000
0.0000 8.5766 1.0564
0.0000 -1.2836 12.5319
Y Nd Th
6 2 4
direct
0.2500 0.9026 0.3943 Y
0.7500 0.0974 0.6057 Y
0.7500 0.6034 0.2469 Y
0.2500 0.3472 0.0423 Y
0.2500 0.3966 0.7531 Y
0.7500 0.6528 0.9577 Y
0.2500 0.8141 0.7521 Nd
0.7500 0.1859 0.2479 Nd
0.2500 0.3633 0.4457 Th
0.7500 0.0875 0.8944 Th
0.2500 0.9125 0.1056 Th
0.7500 0.6367 0.5543 Th
```

---

Entry 16:
VASP calculation (PBE-GGA) on a relaxed structure of Al3In12Sb5.

Results
E_form (uncorrected)	0.14	eV/atom
V	2507.4	Å³/cell

```
Al3In12Sb5
1.0
14.8234 0.0000 0.0000
-4.9411 13.9757 0.0000
-4.9411 -6.9878 12.1033
In Al Sb
48 12 20
direct
0.9347 0.8306 0.5700 In
0.0653 0.1694 0.4300 In
0.4300 0.6694 0.0653 In
0.3959 0.2606 0.3306 In
0.7606 0.3306 0.8959 In
0.0700 0.6352 0.7394 In
0.2606 0.8648 0.9300 In
0.8306 0.9347 0.0700 In
0.6352 0.5653 0.8959 In
0.1694 0.1041 0.7394 In
0.0653 0.8959 0.1352 In
0.3648 0.9300 0.7606 In
0.1041 0.9347 0.3648 In
0.9300 0.3648 0.2606 In
0.5700 0.3306 0.9347 In
0.7606 0.4300 0.3648 In
0.5700 0.2394 0.1352 In
0.6694 0.2394 0.6041 In
0.6694 0.4300 0.5653 In
0.1352 0.3959 0.0653 In
0.2394 0.5700 0.6352 In
0.4347 0.0700 0.3306 In
0.3306 0.5700 0.4347 In
0.6041 0.8648 0.4347 In
0.9347 0.1041 0.8648 In
0.5653 0.9300 0.6694 In
0.1352 0.7394 0.5700 In
0.7394 0.6041 0.1694 In
0.2606 0.3959 0.8306 In
0.3306 0.7606 0.3959 In
0.8648 0.2606 0.4300 In
0.2394 0.6694 0.1041 In
0.3959 0.1352 0.5653 In
0.6352 0.0700 0.2394 In
0.3648 0.4347 0.1041 In
0.7394 0.1352 0.0700 In
0.1041 0.1694 0.2394 In
0.4300 0.7606 0.8648 In
0.1694 0.0653 0.9300 In
0.0700 0.4347 0.8306 In
0.9300 0.5653 0.1694 In
0.4347 0.3648 0.6041 In
0.8306 0.8959 0.2606 In
0.8959 0.0653 0.6352 In
0.8648 0.6041 0.9347 In
0.6041 0.7394 0.6694 In
0.8959 0.8306 0.7606 In
0.5653 0.6352 0.3959 In
0.8750 0.7500 0.1250 Al
0.7500 0.3750 0.1250 Al
0.2500 0.6250 0.8750 Al
0.7500 0.8750 0.6250 Al
0.6250 0.2500 0.3750 Al
0.3750 0.7500 0.6250 Al
0.3750 0.6250 0.2500 Al
0.1250 0.8750 0.7500 Al
0.8750 0.1250 0.2500 Al
0.6250 0.3750 0.7500 Al
0.1250 0.2500 0.8750 Al
0.2500 0.1250 0.3750 Al
0.0000 0.5000 0.5000 Sb
0.5000 0.0000 0.0000 Sb
0.6250 0.7500 0.8750 Sb
0.5000 0.5000 0.0000 Sb
0.0000 0.0000 0.5000 Sb
0.7500 0.6250 0.3750 Sb
0.2500 0.8750 0.1250 Sb
0.8750 0.6250 0.7500 Sb
0.6250 0.8750 0.2500 Sb
0.3750 0.1250 0.7500 Sb
0.1250 0.7500 0.3750 Sb
0.2500 0.3750 0.6250 Sb
0.5000 0.5000 0.5000 Sb
0.3750 0.2500 0.1250 Sb
0.0000 0.5000 0.0000 Sb
0.7500 0.1250 0.8750 Sb
0.0000 0.0000 0.0000 Sb
0.8750 0.2500 0.6250 Sb
0.5000 0.0000 0.5000 Sb
0.1250 0.3750 0.2500 Sb
```

---

Entry 17:
VASP calculation (PBE-GGA) on a relaxed structure of Zr2MnBe.

Results
ΔH_f (0 K)	87	meV/atom
V	65.1	Å³/cell

```
Zr2MnBe
1.0
5.1517 0.0051 -0.0532
4.1701 3.0249 -0.0532
1.1723 0.3810 4.1708
Zr Be Mn
2 1 1
direct
0.7713 0.7713 0.6954 Zr
0.9980 0.9980 0.0264 Zr
0.5327 0.5327 0.5089 Be
0.1980 0.1980 0.2693 Mn
```

---

Entry 18:
VASP calculation (PBE-GGA) on a relaxed structure of ZnCoSe2N.

Results
E_form (uncorrected)	1.22	eV/atom
V	92.3	Å³/cell

```
ZnCoSe2N
1.0
5.0713 0.0000 0.0000
0.0000 5.0713 0.0000
0.0000 0.0000 3.5891
N Se Zn Co
1 2 1 1
direct
0.0000 0.0000 0.5000 N
0.0000 0.5000 0.0000 Se
0.5000 0.0000 0.0000 Se
0.0000 0.0000 0.0000 Zn
0.5000 0.5000 0.5000 Co
```

---

Entry 19:
VASP calculation (PBE-GGA) on a relaxed structure of Li2CuC2.

Results
ΔH_f (0 K)	230	meV/atom
V	92.5	Å³/cell

```
Li2CuC2
1.0
-2.7797 4.2837 1.1940
-4.1244 -3.0099 1.1965
1.0659 -0.1954 3.1825
Li C Cu
4 4 2
direct
0.3127 0.1873 0.5000 Li
0.8127 0.3127 0.5000 Li
0.6873 0.8127 0.5000 Li
0.1873 0.6873 0.5000 Li
0.9107 0.5893 0.0000 C
0.0893 0.4107 0.0000 C
0.4107 0.9107 0.0000 C
0.5893 0.0893 0.0000 C
0.5000 0.5000 0.0000 Cu
0.0000 0.0000 0.0000 Cu
```

---

Entry 20:
VASP calculation (PBE-GGA) on a relaxed structure of Tb3GdCo.

Results
ΔH_f (0 K)	-11	meV/atom
V	148.5	Å³/cell

```
Tb3GdCo
1.0
-4.1274 -3.3018 0.3146
1.2130 -1.9702 -4.7627
3.0869 -3.6405 2.2921
Tb Gd Co
3 1 1
direct
0.5000 0.0000 0.0000 Tb
0.0000 0.0000 0.5000 Tb
0.0000 0.5000 0.0000 Tb
0.5000 0.5000 0.5000 Gd
0.0000 0.0000 0.0000 Co
```